A relaxed AlRe2Pb crystal. Source: Alexandria via LeMat-Bulk, functional PBE.

Calculated values
volume = 73 Å³ per cell
space group = No. 6
formation enthalpy at 0 K = 251 kJ/mol of formula units
magnetization = 0.0 μB/f.u.
total energy = -7.44 eV per atom
density of states at the Fermi level = 0.73 states/eV/atom

```
AlRe2Pb
1.0
3.100 0.000 0.000
0.000 4.457 0.000
-1.460 0.000 5.288
Al Re Pb
1 2 1
direct
0.000 0.000 0.000
0.248 0.000 0.598
0.665 0.500 0.749
0.783 0.500 0.273
```